First-principles (PBE) data for a relaxed structure of Na2NpUO6, as listed in the Alexandria database.

Values from the calculation:
- uncorrected energy (eV/atom) = -8.40
- total magnetization (μB per formula unit) = 3.0

Cell lengths 5.807, 5.942, 10.150 Å; angles 90.00, 124.87, 90.00 degrees
Space group P2_1/c (No. 14)
Asymmetric unit:
1 Na 0.244 0.031 0.250
2 Np 0.000 0.000 0.500
3 U 0.500 0.000 0.000
4 O 0.154 0.201 0.952
5 O 0.253 0.704 0.952
6 O 0.344 0.031 0.752